Below is CeNd5Tl3 after structural relaxation, with properties calculated at the PBE level.

The calculation puts the formation energy at -0.25 eV/atom.

It has space group P6_3/mcm (No. 193), with a = 9.6694 Å, b = 9.6694 Å, c = 6.8806 Å, α = 90.00°, β = 90.00° and γ = 120.00°. Symmetry generates all atoms from Ce at (0.0000, 0.0000, 0.0000), Nd at (0.0000, 0.3272, 0.2500), Nd at (0.3333, 0.6667, 0.0000) and Tl at (0.0000, 0.3374, 0.7500).

=====

Below is RbSiNO2 after structural relaxation, with properties calculated at the PBE level.

The calculation puts the formation energy without anion corrections at 1.954 eV/atom.

It has space group P4/mmm (No. 123), with a = 4.2937 Å, b = 4.2937 Å, c = 4.6180 Å, α = 90.00°, β = 90.00° and γ = 90.00°. Symmetry generates all atoms from Rb at (0.0000, 0.0000, 0.0000), Si at (0.5000, 0.5000, 0.5000), N at (0.0000, 0.0000, 0.5000) and O at (0.0000, 0.5000, 0.0000).